Entry 1:
Computed, not measured: an optimized crystal structure of Zr2Nb2Tc at the PBE level of DFT.

Calculated values
Total DFT energy (no corrections): -9.6640 eV/atom
Calculated formation energy: -0.14 eV/atom

Cell lengths 3.3577, 3.3577, 8.7764 Å; angles 101.03, 101.03, 90.00 degrees
Closest atoms and distances in Å follow each position.
Atoms (fractional coordinates):
1 Zr 0.5941 0.5941 0.1883  4 Tc 2.86, 4 Nb 3.06, 1 Zr 3.18
2 Zr 0.4059 0.4059 0.8117  4 Tc 2.86, 4 Nb 3.06, 1 Zr 3.18
3 Nb 0.7917 0.7917 0.5835  4 Nb 2.76, 4 Zr 3.06
4 Nb 0.2083 0.2083 0.4165  4 Nb 2.76, 4 Zr 3.06
5 Tc 0.0000 0.0000 0.0000  8 Zr 2.86

=====

Entry 2:
Computed, not measured: an optimized crystal structure of MnAs2Ru at the PBE level of DFT.

Calculated values
Total DFT energy (no corrections): -6.8981 eV/atom
Calculated formation energy: 0.04 eV/atom

Cell lengths 4.2670, 4.2670, 3.0236 Å; angles 90.00, 90.00, 90.00 degrees
Closest atoms and distances in Å follow each position.
Atoms (fractional coordinates):
1 As 0.0000 0.0000 0.0000  4 Mn 2.61, 4 Ru 2.61
2 As 0.5000 0.5000 0.0000  4 Mn 2.61, 4 Ru 2.61
3 Mn 0.5000 0.0000 0.5000  8 As 2.61
4 Ru 0.0000 0.5000 0.5000  8 As 2.61

=====

Entry 3:
Computed, not measured: an optimized crystal structure of Cs2RbHgBr at the PBE level of DFT.

Calculated values
ΔE_f (raw): -0.435 eV per atom
Total DFT energy (no corrections): -1.3646 eV/atom

Cell lengths 7.3223, 6.8123, 7.3223 Å; angles 90.00, 90.00, 90.00 degrees
Closest atoms and distances in Å follow each position.
Atoms (fractional coordinates):
1 Cs 0.0000 0.0000 0.5000  2 Hg 3.66
2 Cs 0.5000 0.0000 0.0000  2 Hg 3.66
3 Br 0.0000 0.5000 0.0000  2 Hg 3.41
4 Hg 0.0000 0.0000 0.0000  2 Br 3.41, 4 Cs 3.66
5 Rb 0.5000 0.5000 0.5000  8 Cs 5.00, 4 Br 5.18